1.
{
  "formula": "La3Pt",
  "functional": "PBE-GGA",
  "state": "relaxed",
  "sg": "I4/mmm (139)",
  "final_energy_ev_per_atom": -5.545,
  "mass_density_g_cm3": 9.02,
  "dos_ef_per_ev_fu": 5.89,
  "lattice": [[4.3849, 4.8351, 9.6654], [8.0053, 6.9219, 4.9018], [-8.1196, -3.3892, -7.6558]],
  "species": ["La", "La", "La", "La", "La", "La", "Pt", "Pt"],
  "frac_coords": [[0.0000, 0.5000, 0.5000], [0.8738, 0.8738, 0.0000], [0.1262, 0.1262, 0.0000], [0.2500, 0.7500, 0.5000], [0.5000, 0.0000, 0.5000], [0.7500, 0.2500, 0.5000], [0.3721, 0.3721, 0.0000], [0.6279, 0.6279, 0.0000]]
}


2.
{
  "formula": "LaPt",
  "functional": "PBE-GGA",
  "state": "relaxed",
  "sg": "Cmcm (63)",
  "final_energy_ev_per_atom": -6.686,
  "mass_density_g_cm3": 10.89,
  "dos_ef_per_ev_fu": 1.42,
  "lattice": [[-1.3662, -3.3393, 1.6919], [1.7184, -2.4501, -3.4482], [5.5015, 1.1092, 1.9534]],
  "species": ["La", "La", "Pt", "Pt"],
  "frac_coords": [[0.1354, 0.7500, 0.2696], [0.8646, 0.2500, 0.7304], [0.5926, 0.2500, 0.1851], [0.4074, 0.7500, 0.8149]]
}


3.
{
  "formula": "LaPt2",
  "functional": "PBE-GGA",
  "state": "relaxed",
  "sg": "Immm (71)",
  "final_energy_ev_per_atom": -6.604,
  "mass_density_g_cm3": 13.32,
  "dos_ef_per_ev_fu": 1.75,
  "lattice": [[2.0211, 6.2870, 0.2543], [-2.0211, 6.2870, 0.2543], [0.0000, 2.5199, 5.2920]],
  "species": ["La", "La", "Pt", "Pt", "Pt", "Pt"],
  "frac_coords": [[0.3233, 0.3233, 0.6767], [0.6767, 0.6767, 0.3233], [0.6220, 0.6220, 0.8782], [0.0002, 0.0002, 0.7449], [0.9998, 0.9998, 0.2551], [0.3780, 0.3780, 0.1218]]
}


4.
{
  "formula": "LaPt",
  "functional": "PBE-GGA",
  "state": "relaxed",
  "sg": "Cm (8)",
  "final_energy_ev_per_atom": -6.596,
  "mass_density_g_cm3": 10.50,
  "dos_ef_per_ev_fu": 1.56,
  "lattice": [[4.0017, 0.0000, 0.0000], [-2.0008, 5.5318, 0.0067], [0.0000, 2.8592, 7.1632]],
  "species": ["Pt", "Pt", "Pt", "La", "La", "La"],
  "frac_coords": [[0.9481, 0.8962, 0.4022], [0.7933, 0.5866, 0.0206], [0.6900, 0.3801, 0.6905], [0.2411, 0.4823, 0.3567], [0.4198, 0.8397, 0.6999], [0.0743, 0.1486, 0.9968]]
}


5.
{
  "formula": "La2Pt3",
  "functional": "PBE-GGA",
  "state": "relaxed",
  "sg": "Fdd2 (43)",
  "final_energy_ev_per_atom": -6.690,
  "mass_density_g_cm3": 12.66,
  "dos_ef_per_ev_fu": 2.42,
  "lattice": [[-3.8920, 2.8964, -3.0265], [-0.8745, -5.5799, 0.8922], [-6.2850, 0.3275, 5.5481]],
  "species": ["La", "La", "La", "La", "Pt", "Pt", "Pt", "Pt", "Pt", "Pt"],
  "frac_coords": [[0.2571, 0.4094, 0.5995], [0.0089, 0.8567, 0.4005], [0.6067, 0.2589, 0.9005], [0.1594, 0.5071, 0.0995], [0.5687, 0.4426, 0.2450], [0.1926, 0.8187, 0.7450], [0.6877, 0.8137, 0.7550], [0.7276, 0.2276, 0.5000], [0.9776, 0.9776, 0.0000], [0.5637, 0.9377, 0.2550]]
}


6.
{
  "formula": "La8Pt",
  "functional": "PBE-GGA",
  "state": "relaxed",
  "sg": "I4/mmm (139)",
  "final_energy_ev_per_atom": -5.157,
  "mass_density_g_cm3": 7.39,
  "dos_ef_per_ev_fu": 12.92,
  "lattice": [[-5.2376, 5.2376, 2.6767], [5.2376, -5.2376, 2.6767], [5.2376, 5.2376, -2.6767]],
  "species": ["La", "La", "La", "La", "La", "La", "La", "La", "Pt"],
  "frac_coords": [[0.6972, 0.0000, 0.6972], [0.6652, 0.6652, 0.3304], [0.6652, 0.3348, 0.0000], [0.3348, 0.3348, 0.6696], [0.3028, 0.0000, 0.3028], [0.0000, 0.3028, 0.3028], [0.3348, 0.6652, 0.0000], [0.0000, 0.6972, 0.6972], [0.0000, 0.0000, 0.0000]]
}


7.
{
  "formula": "LaPuPt2",
  "functional": "PBE-GGA",
  "state": "relaxed",
  "sg": "Amm2 (38)",
  "final_energy_ev_per_atom": -8.811,
  "mass_density_g_cm3": 13.27,
  "dos_ef_per_ev_fu": 13.55,
  "lattice": [[-0.2909, 3.8735, -0.7598], [0.3464, -0.8218, -4.3221], [-5.3603, -2.4223, 0.0310]],
  "species": ["Pt", "Pt", "La", "Pu"],
  "frac_coords": [[0.1718, 0.5000, 0.8828], [0.9893, 0.0000, 0.5178], [0.7219, 0.0000, 0.9821], [0.4480, 0.5000, 0.4354]]
}


8.
{
  "formula": "LaPu2Pt2",
  "functional": "PBE-GGA",
  "state": "relaxed",
  "sg": "C2/c (15)",
  "polymorph_energy_ev_per_fu": 0.79,
  "mass_density_g_cm3": 15.29,
  "dos_ef_per_ev_fu": 9.18,
  "lattice": [[7.4364, 0.0000, 0.0000], [0.0000, 6.5670, 0.3511], [-3.7182, -1.8570, 4.4242]],
  "species": ["Pt", "Pt", "Pt", "Pt", "Pu", "Pu", "Pu", "Pu", "La", "La"],
  "frac_coords": [[0.4029, 0.6850, 0.4056], [0.0027, 0.1850, 0.4056], [0.5971, 0.3150, 0.5944], [0.9973, 0.8150, 0.5944], [0.5389, 0.9244, 0.1745], [0.6355, 0.4244, 0.1745], [0.4611, 0.0756, 0.8255], [0.3645, 0.5756, 0.8255], [0.0895, 0.2500, 0.0000], [0.9105, 0.7500, 0.0000]]
}


9.
{
  "formula": "LaPu2Pt9",
  "functional": "PBE-GGA",
  "state": "relaxed",
  "sg": "R-3m (166)",
  "final_energy_ev_per_atom": -8.144,
  "mass_density_g_cm3": 17.31,
  "dos_ef_per_ev_fu": 26.60,
  "lattice": [[-0.3699, -0.6927, 5.3856], [-1.7659, -4.7354, 2.0197], [7.6582, -4.8524, 2.6519]],
  "species": ["Pt", "Pt", "Pt", "Pt", "Pt", "Pt", "Pt", "Pt", "Pt", "La", "Pu", "Pu"],
  "frac_coords": [[0.6673, 0.6673, 0.9980], [0.5870, 0.0817, 0.7442], [0.4130, 0.9183, 0.2558], [0.4130, 0.4130, 0.2558], [0.0817, 0.5870, 0.7442], [0.9183, 0.4130, 0.2558], [0.5000, 0.5000, 0.5000], [0.3327, 0.3327, 0.0020], [0.5870, 0.5870, 0.7442], [0.0000, 0.0000, 0.0000], [0.8570, 0.8570, 0.4290], [0.1430, 0.1430, 0.5710]]
}


10.
{
  "formula": "LaPuPt3",
  "functional": "PBE-GGA",
  "state": "relaxed",
  "sg": "Cmcm (63)",
  "final_energy_ev_per_atom": -8.417,
  "mass_density_g_cm3": 14.02,
  "dos_ef_per_ev_fu": 12.66,
  "lattice": [[4.2294, 0.0000, 0.0000], [0.0000, 3.9127, 0.0000], [0.0000, -1.9563, 13.8630]],
  "species": ["Pt", "Pt", "Pt", "Pt", "Pt", "Pt", "La", "La", "Pu", "Pu"],
  "frac_coords": [[0.7500, 0.6240, 0.2479], [0.7500, 0.3119, 0.6239], [0.2500, 0.6881, 0.3761], [0.7500, 0.5289, 0.0578], [0.2500, 0.3760, 0.7521], [0.2500, 0.4711, 0.9422], [0.7500, 0.9259, 0.8519], [0.2500, 0.0741, 0.1481], [0.2500, 0.7933, 0.5866], [0.7500, 0.2067, 0.4134]]
}


11.
{
  "formula": "LaPuPt2",
  "functional": "PBE-GGA",
  "state": "relaxed",
  "sg": "P4/mmm (123)",
  "final_energy_ev_per_atom": -8.732,
  "mass_density_g_cm3": 13.91,
  "dos_ef_per_ev_fu": 11.65,
  "lattice": [[-0.7582, -3.0563, -1.7182], [3.7688, -2.3251, 2.4729], [-3.2206, -1.2826, 3.7024]],
  "species": ["La", "Pt", "Pt", "Pu"],
  "frac_coords": [[0.5000, 0.0000, 0.0000], [0.0000, 0.5000, 0.0000], [0.0000, 0.0000, 0.5000], [0.5000, 0.5000, 0.5000]]
}


12.
{
  "formula": "LaPuPt2",
  "functional": "PBE-GGA",
  "state": "relaxed",
  "sg": "R3m (160)",
  "final_energy_ev_per_atom": -8.687,
  "mass_density_g_cm3": 12.37,
  "dos_ef_per_ev_fu": 11.63,
  "lattice": [[-2.4077, -0.3493, -3.3492], [-1.9136, -3.5805, -0.8092], [-6.9593, 0.7926, 2.3620]],
  "species": ["La", "Pt", "Pt", "Pu"],
  "frac_coords": [[0.4969, 0.4969, 0.5094], [0.2562, 0.2562, 0.2313], [0.0782, 0.0782, 0.7653], [0.6686, 0.6686, 0.9941]]
}


13.
{
  "formula": "La2PuPt2",
  "functional": "PBE-GGA",
  "state": "relaxed",
  "sg": "Ibam (72)",
  "final_energy_ev_per_atom": -8.087,
  "mass_density_g_cm3": 10.81,
  "dos_ef_per_ev_fu": 10.83,
  "lattice": [[1.1498, 1.8044, -5.5957], [-2.0837, -7.6469, -2.8939], [-4.7989, 4.5651, 3.6929]],
  "species": ["La", "La", "La", "La", "Pt", "Pt", "Pt", "Pt", "Pu", "Pu"],
  "frac_coords": [[0.3447, 0.9855, 0.6894], [0.1553, 0.2961, 0.3106], [0.6553, 0.0145, 0.3106], [0.8447, 0.7039, 0.6894], [0.1061, 0.8858, 0.2122], [0.3939, 0.6736, 0.7878], [0.8939, 0.1142, 0.7878], [0.6061, 0.3264, 0.2122], [0.2500, 0.5000, 0.0000], [0.7500, 0.5000, 0.0000]]
}


14.
{
  "formula": "LaPuPt",
  "functional": "PBE-GGA",
  "state": "relaxed",
  "sg": "P6_3/mmc (194)",
  "polymorph_energy_ev_per_fu": 0.00,
  "mass_density_g_cm3": 12.87,
  "dos_ef_per_ev_fu": 8.00,
  "lattice": [[5.0032, 0.0000, 0.0000], [-2.5016, 4.3332, 0.0000], [0.0000, 0.0000, 6.8780]],
  "species": ["Pu", "Pu", "La", "La", "Pt", "Pt"],
  "frac_coords": [[0.8333, 0.6666, 0.2500], [0.1667, 0.3334, 0.7500], [0.5000, 0.0000, 0.0000], [0.5000, 0.0000, 0.5000], [0.1666, 0.3333, 0.2500], [0.8334, 0.6667, 0.7500]]
}


15.
{
  "formula": "LaPuPt",
  "functional": "PBE-GGA",
  "state": "relaxed",
  "sg": "P-6m2 (187)",
  "polymorph_energy_ev_per_fu": 0.88,
  "mass_density_g_cm3": 14.37,
  "dos_ef_per_ev_fu": 6.95,
  "lattice": [[2.9964, 0.0000, 0.0000], [0.0000, 5.0737, 0.0000], [0.0000, -2.5369, 4.3940]],
  "species": ["Pu", "La", "Pt"],
  "frac_coords": [[0.5002, 0.6667, 0.3333], [0.5000, 0.3333, 0.6667], [0.9998, 0.0000, 0.0000]]
}


16.
{
  "formula": "La2Pu2Pt15",
  "functional": "PBE-GGA",
  "state": "relaxed",
  "sg": "R-3m (166)",
  "final_energy_ev_per_atom": -7.458,
  "mass_density_g_cm3": 17.30,
  "dos_ef_per_ev_fu": 33.66,
  "lattice": [[7.1309, -0.0071, -0.0063], [0.9181, 7.0716, -0.0063], [0.9181, 0.8058, 7.0255]],
  "species": ["Pt", "Pt", "Pt", "Pt", "Pt", "Pt", "Pt", "Pt", "Pt", "Pt", "Pt", "Pt", "Pt", "Pt", "Pt", "Pu", "Pu", "La", "La"],
  "frac_coords": [[0.3147, 0.0000, 0.6853], [0.3147, 0.6853, 0.0000], [0.8389, 0.3455, 0.3455], [0.6853, 0.3147, 0.0000], [0.6545, 0.6545, 0.1611], [0.6545, 0.1611, 0.6545], [0.3455, 0.8389, 0.3455], [0.5000, 0.0000, 0.0000], [0.0000, 0.6853, 0.3147], [0.0000, 0.5000, 0.0000], [0.0000, 0.3147, 0.6853], [0.3455, 0.3455, 0.8389], [0.0000, 0.0000, 0.5000], [0.6853, 0.0000, 0.3147], [0.1611, 0.6545, 0.6545], [0.0978, 0.0978, 0.0978], [0.9022, 0.9022, 0.9022], [0.3531, 0.3531, 0.3531], [0.6469, 0.6469, 0.6469]]
}


17.
{
  "formula": "LaPu2Pt",
  "functional": "PBE-GGA",
  "state": "relaxed",
  "sg": "R-3m (166)",
  "final_energy_ev_per_atom": -10.171,
  "mass_density_g_cm3": 14.39,
  "dos_ef_per_ev_fu": 17.12,
  "lattice": [[5.1161, 0.0000, 0.0000], [2.5581, 4.4307, 0.0000], [2.5581, 1.4769, 4.1845]],
  "species": ["Pu", "Pu", "Pt", "La"],
  "frac_coords": [[0.7499, 0.7499, 0.7504], [0.2501, 0.2501, 0.2496], [0.0000, 0.0000, 0.0000], [0.5000, 0.5000, 0.5000]]
}


18.
{
  "formula": "La2PuPt",
  "functional": "PBE-GGA",
  "state": "relaxed",
  "sg": "P4/mmm (123)",
  "final_energy_ev_per_atom": -7.990,
  "mass_density_g_cm3": 10.38,
  "dos_ef_per_ev_fu": 7.31,
  "lattice": [[3.7044, 0.0000, 0.0000], [0.0000, 3.7044, 0.0000], [0.0000, 0.0000, 8.3584]],
  "species": ["Pu", "La", "La", "Pt"],
  "frac_coords": [[0.5000, 0.5000, 0.5000], [0.0000, 0.0000, 0.7931], [0.0000, 0.0000, 0.2069], [0.5000, 0.5000, 0.0000]]
}


19.
{
  "formula": "La2PuPt9",
  "functional": "PBE-GGA",
  "state": "relaxed",
  "sg": "R-3m (166)",
  "final_energy_ev_per_atom": -7.393,
  "mass_density_g_cm3": 16.23,
  "dos_ef_per_ev_fu": 19.98,
  "lattice": [[5.2404, 0.0000, 1.5596], [2.3881, 4.6646, 1.5596], [0.0134, 0.0082, 9.5389]],
  "species": ["Pt", "Pt", "Pt", "Pt", "Pt", "Pt", "Pt", "Pt", "Pt", "La", "La", "Pu"],
  "frac_coords": [[0.5849, 0.0809, 0.7493], [0.6675, 0.6675, 0.9975], [0.0809, 0.5849, 0.7493], [0.5849, 0.5849, 0.7493], [0.3325, 0.3325, 0.0025], [0.5000, 0.5000, 0.5000], [0.4151, 0.4151, 0.2507], [0.4151, 0.9191, 0.2507], [0.9191, 0.4151, 0.2507], [0.1386, 0.1386, 0.5842], [0.8614, 0.8614, 0.4158], [0.0000, 0.0000, 0.0000]]
}


20.
{
  "formula": "LaPu2Pt2",
  "functional": "PBE-GGA",
  "state": "relaxed",
  "sg": "Cmc2_1 (36)",
  "polymorph_energy_ev_per_fu": 0.00,
  "mass_density_g_cm3": 13.03,
  "dos_ef_per_ev_fu": 16.57,
  "lattice": [[-3.5197, -1.1822, 1.9216], [4.9885, 0.8991, 5.1425], [-2.4247, 8.5984, 0.8488]],
  "species": ["Pt", "Pt", "Pt", "Pt", "Pu", "Pu", "Pu", "Pu", "La", "La"],
  "frac_coords": [[0.0379, 0.0757, 0.5174], [0.9621, 0.9243, 0.0174], [0.7687, 0.5373, 0.1704], [0.2313, 0.4627, 0.6704], [0.1211, 0.2423, 0.2046], [0.6813, 0.3626, 0.4665], [0.3187, 0.6374, 0.9665], [0.8789, 0.7577, 0.7046], [0.5911, 0.1821, 0.8456], [0.4089, 0.8179, 0.3456]]
}


21.
{
  "formula": "LaPuPtRh",
  "functional": "PBE-GGA",
  "state": "relaxed",
  "sg": "F-43m (216)",
  "polymorph_energy_ev_per_fu": 0.36,
  "mass_density_g_cm3": 12.63,
  "dos_ef_per_ev_fu": 11.94,
  "lattice": [[5.0212, 0.0000, 0.0000], [2.5106, 4.3485, 0.0000], [2.5106, 1.4495, 4.0998]],
  "species": ["Pt", "La", "Pu", "Rh"],
  "frac_coords": [[0.5000, 0.5000, 0.5000], [0.7500, 0.7500, 0.7500], [0.2500, 0.2500, 0.2500], [0.0000, 0.0000, 0.0000]]
}


22.
{
  "formula": "LaPuPtRh",
  "functional": "PBE-GGA",
  "state": "relaxed",
  "sg": "Amm2 (38)",
  "polymorph_energy_ev_per_fu": 0.00,
  "mass_density_g_cm3": 12.09,
  "dos_ef_per_ev_fu": 12.05,
  "lattice": [[3.9322, 0.0000, 0.0000], [0.0000, 4.2685, 0.0000], [-1.9661, 0.0000, 5.5710]],
  "species": ["Pu", "La", "Rh", "Pt"],
  "frac_coords": [[0.8677, 0.5000, 0.7354], [0.1453, 0.0000, 0.2906], [0.4022, 0.0000, 0.8044], [0.5847, 0.5000, 0.1695]]
}


23.
{
  "formula": "La2PuSi3Pt4",
  "functional": "PBE-GGA",
  "state": "relaxed",
  "sg": "P-4m2 (115)",
  "raw_formation_energy_ev_per_atom": -0.992,
  "mass_density_g_cm3": 11.36,
  "dos_ef_per_ev_fu": 10.67,
  "lattice": [[-0.0144, -0.7384, -4.2667], [-3.9510, -1.7437, 0.3151], [-4.4221, 9.7189, -1.6671]],
  "species": ["Pt", "Pt", "Pt", "Pt", "La", "La", "Si", "Si", "Si", "Pu"],
  "frac_coords": [[0.0000, 0.5000, 0.3368], [0.0000, 0.0000, 0.0000], [0.5000, 0.0000, 0.6632], [0.5000, 0.5000, 0.0000], [0.0000, 0.5000, 0.7671], [0.5000, 0.0000, 0.2329], [0.0000, 0.0000, 0.5000], [0.0000, 0.5000, 0.1144], [0.5000, 0.0000, 0.8856], [0.5000, 0.5000, 0.5000]]
}


24.
{
  "formula": "La2PuSn3Pt4",
  "functional": "PBE-GGA",
  "state": "relaxed",
  "sg": "P-4m2 (115)",
  "final_energy_ev_per_atom": -6.900,
  "mass_density_g_cm3": 11.49,
  "dos_ef_per_ev_fu": 10.57,
  "lattice": [[4.6820, 0.0000, 0.0000], [0.0000, 4.6820, 0.0000], [0.0000, 0.0000, 10.9356]],
  "species": ["La", "La", "Pt", "Pt", "Pt", "Pt", "Pu", "Sn", "Sn", "Sn"],
  "frac_coords": [[0.0000, 0.5000, 0.7739], [0.5000, 0.0000, 0.2261], [0.0000, 0.0000, 0.0000], [0.5000, 0.0000, 0.6397], [0.0000, 0.5000, 0.3603], [0.5000, 0.5000, 0.0000], [0.5000, 0.5000, 0.5000], [0.0000, 0.0000, 0.5000], [0.5000, 0.0000, 0.8781], [0.0000, 0.5000, 0.1219]]
}


25.
{
  "formula": "LaPuZn2Pt2",
  "functional": "PBE-GGA",
  "state": "relaxed",
  "sg": "P-3m1 (164)",
  "final_energy_ev_per_atom": -6.407,
  "mass_density_g_cm3": 11.79,
  "dos_ef_per_ev_fu": 11.26,
  "lattice": [[-3.3694, 1.4991, 2.6065], [2.7279, -3.2730, 1.4966], [4.3960, 4.9583, 2.8309]],
  "species": ["Pt", "Pt", "Pu", "La", "Zn", "Zn"],
  "frac_coords": [[0.6667, 0.3333, 0.2766], [0.3333, 0.6667, 0.7234], [0.0000, 0.0000, 0.5000], [0.0000, 0.0000, 0.0000], [0.6667, 0.3333, 0.7284], [0.3333, 0.6667, 0.2716]]
}